Entry 1:
Density functional theory data (GGA+U) for a relaxed BaLiV2Ni3H2O10 crystal.

Calculated values
Energy = -5.929 eV/atom
Relative energy among the computed polymorphs = 0.078 eV per atom

Cell lengths 10.3253, 5.8894, 8.1396 Å; angles 90.00, 115.56, 90.00 degrees
Last column: nearest neighbours and their distance in Å.
Space group C2/m (No. 12)
One atom of each set of equivalent atoms:
Ba 0.0000 0.0000 0.0000  6 O 2.91-2.95
Li 0.0000 0.5000 0.5000  6 O 2.10-2.12, 2 V 2.18
V 0.1001 0.5000 0.7973  4 O 1.71-1.82
Ni 0.0000 0.0000 0.5000  2 O 1.94
Ni 0.2500 0.2500 0.5000  2 O 1.93
H 0.2440 0.5000 0.2404  1 O 1.01
O 0.0175 0.2631 0.3173  1 V 1.82
O 0.1689 0.5000 0.0299  1 H 1.55, 1 V 1.71
O 0.2079 0.0000 0.6225  1 H 1.01
O 0.2201 0.5000 0.6887  1 V 1.81


Entry 2:
Density functional theory data (GGA+U) for a relaxed BaLiV2Ni3H2O10 crystal.

Calculated values
Energy = -5.925 eV/atom
Relative energy among the computed polymorphs = 0.082 eV per atom

Cell lengths 6.0284, 6.1292, 7.4369 Å; angles 72.02, 87.96, 60.58 degrees
Last column: nearest neighbours and their distance in Å.
Space group P1 (No. 1)
One atom of each set of equivalent atoms:
Ba 0.0000 0.0000 0.0000  4 O 2.57-2.86
Li 0.4515 0.0478 0.5385  4 O 1.99-2.13
V 0.3591 0.2626 0.1875  5 O 1.80-1.98
V 0.3899 0.2186 0.8212  3 O 1.69-1.87
Ni 0.4124 0.6191 0.4578  5 O 2.00-2.12
Ni 0.9139 0.1213 0.4679  5 O 2.00-2.18
Ni 0.9402 0.6158 0.4582  5 O 2.00-2.07
H 0.0775 0.6529 0.7545  1 O 0.99
H 0.6924 0.6063 0.1943  1 O 0.99
O 0.1062 0.7284 0.6232  1 H 0.99
O 0.1163 0.3700 0.9695  1 H 1.88, 2 V 1.94-1.95
O 0.1460 0.2395 0.6582  1 V 1.87, 1 Li 1.99, 1 Ni 2.07
O 0.2317 0.5222 0.2912  1 V 1.80
O 0.2488 0.0140 0.3401  1 V 1.98, 2 Ni 2.00-2.09, 1 Li 2.07
O 0.5218 0.3435 0.9719  2 V 1.91
O 0.5401 0.8941 0.9574  1 V 1.69
O 0.6066 0.2376 0.6442  1 V 1.84, 1 Ni 2.05
O 0.7009 0.0107 0.3403  1 V 1.97, 2 Ni 2.01-2.09, 1 Li 2.05
O 0.7326 0.5153 0.3338  1 H 0.99


Entry 3:
Density functional theory data (GGA+U) for a relaxed BaLiV2Ni3H2O10 crystal.

Calculated values
Energy = -5.987 eV/atom
Relative energy among the computed polymorphs = 0.020 eV per atom

Cell lengths 10.2659, 5.9812, 7.3078 Å; angles 90.00, 105.47, 90.00 degrees
Last column: nearest neighbours and their distance in Å.
Space group Cm (No. 8)
One atom of each set of equivalent atoms:
Ba 0.0000 0.0000 0.0000  1 H 2.72, 6 O 2.73-2.92
Li 0.3020 0.0000 0.2120  1 O 1.86
V 0.0782 0.5000 0.2648  4 O 1.78-1.88
V 0.1554 0.5000 0.7769  4 O 1.73-1.78
Ni 0.1209 0.0000 0.5161  4 O 1.98-2.14
Ni 0.3708 0.2480 0.5329  6 O 2.00-2.17
H 0.3462 0.0000 0.8148  1 O 0.99
H 0.3522 0.5000 0.2582  1 O 0.99
O 0.0678 0.2421 0.7225  1 V 1.78
O 0.1753 0.2305 0.3258  1 V 1.88
O 0.2357 0.5000 0.0166  1 V 1.73, 1 H 1.85
O 0.2931 0.5000 0.6755  1 V 1.76
O 0.3104 0.0000 0.6744  1 H 0.99
O 0.4216 0.5000 0.3812  1 H 0.99
O 0.4445 0.0000 0.0511  1 H 1.75, 1 V 1.78
O 0.4575 0.0000 0.4143  1 V 1.86, 1 Li 1.86, 2 Ni 2.04


Entry 4:
Density functional theory data (GGA+U) for a relaxed BaLiV2Ni3H2O10 crystal.

Calculated values
Energy = -6.006 eV/atom
Relative energy among the computed polymorphs = 0.001 eV per atom

Cell lengths 10.4813, 5.9901, 8.0897 Å; angles 90.00, 118.45, 90.00 degrees
Last column: nearest neighbours and their distance in Å.
Space group Cm (No. 8)
One atom of each set of equivalent atoms:
Ba 0.0000 0.0000 0.0000  4 O 2.62-2.77
Li 0.1775 0.0000 0.8021  1 H 1.88, 4 O 1.92-2.04
V 0.1310 0.5000 0.7412  4 O 1.75-1.86
V 0.4522 0.0000 0.2365  4 O 1.73-1.77
Ni 0.0342 0.0000 0.4761  6 O 1.97-2.13
Ni 0.2941 0.2577 0.4899  5 O 1.98-2.18
H 0.2784 0.5000 0.2026  1 O 1.00
H 0.3373 0.0000 0.7557  1 O 0.99
O 0.0264 0.2345 0.6688  1 V 1.86, 1 Li 2.00
O 0.0593 0.2554 0.3139  1 V 1.77
O 0.2448 0.5000 0.9840  1 H 1.63, 1 V 1.75
O 0.2624 0.0000 0.6220  1 H 0.99
O 0.2664 0.5000 0.6547  1 V 1.86
O 0.3174 0.0000 0.3059  1 V 1.75
O 0.3206 0.5000 0.3429  1 H 1.00
O 0.3764 0.0000 0.9939  1 V 1.73, 1 H 1.77, 1 Li 1.92


Entry 5:
Density functional theory data (GGA+U) for a relaxed BaLiV2Ni3H2O10 crystal.

Calculated values
Energy = -6.007 eV/atom
Relative energy among the computed polymorphs = 0.000 eV per atom

Cell lengths 6.0058, 6.0211, 7.7042 Å; angles 90.12, 110.93, 119.38 degrees
Last column: nearest neighbours and their distance in Å.
Space group P1 (No. 1)
One atom of each set of equivalent atoms:
Ba 0.0000 0.0000 0.0000  6 O 2.66-2.90
Li 0.4689 0.5731 0.1472  1 H 1.90, 4 O 1.93-2.07
V 0.1852 0.6633 0.7505  4 O 1.73-1.77
V 0.8834 0.5079 0.2528  4 O 1.80-1.87
Ni 0.0437 0.0879 0.4971  6 O 1.99-2.21
Ni 0.5254 0.5758 0.5007  6 O 1.99-2.16
Ni 0.5430 0.0923 0.5131  6 O 1.98-2.17
H 0.5215 0.8969 0.2368  1 O 0.99
H 0.5379 0.3617 0.7908  1 O 1.00
O 0.0922 0.3543 0.3079  1 V 1.83
O 0.1154 0.8657 0.3400  1 V 1.85
O 0.3145 0.7587 0.9953  1 V 1.73, 1 H 1.74, 1 Li 1.93
O 0.4561 0.2982 0.6492  1 H 1.00
O 0.4699 0.7990 0.6832  1 V 1.77
O 0.5862 0.3612 0.3277  1 V 1.87, 1 Li 2.06
O 0.6240 0.8814 0.3646  1 H 0.99
O 0.6752 0.5094 0.0176  1 H 1.66, 1 V 1.80
O 0.9716 0.7951 0.6657  1 V 1.76
O 0.9890 0.3205 0.6826  1 V 1.76